Model 1:
Tl2CrBr: optimized geometry, PBE.

The structure in POSCAR format:
```
Tl2CrBr
1.0
0.000 3.877 3.877
3.877 0.000 3.877
3.877 3.877 0.000
Tl Cr Br
2 1 1
Cartesian
1.938 1.938 1.938
5.815 5.815 5.815
0.000 0.000 0.000
3.877 3.877 3.877
```

Calculated values
crystal system	cubic

***

Model 2:
Tl2CrBr: optimized geometry, PBE.

The structure in POSCAR format:
```
Tl2CrBr
1.0
3.755 0.000 0.000
0.000 3.580 0.000
-1.867 0.000 8.366
Tl Cr Br
2 1 1
Cartesian
0.000 0.000 0.000
0.013 1.790 6.085
1.876 1.790 1.478
1.883 0.000 3.298
```

Calculated values
crystal system	monoclinic

***

Model 3:
Tl2CrBr: optimized geometry, PBE.

The structure in POSCAR format:
```
Tl2CrBr
1.0
-2.211 2.211 11.766
2.211 -2.211 11.766
2.211 2.211 -11.766
Tl Cr Br
4 2 2
Cartesian
3.316 1.097 -2.941
1.097 1.105 2.941
-1.105 1.113 8.824
1.113 1.105 14.707
2.211 0.000 5.883
0.000 0.000 11.766
0.000 0.000 0.000
0.000 2.211 5.883
```

Calculated values
crystal system	tetragonal

***

Model 4:
Tl2CrBr: optimized geometry, PBE.

The structure in POSCAR format:
```
Tl2CrBr
1.0
-1.670 2.214 7.585
1.670 -2.214 7.585
1.670 2.214 -7.585
Tl Cr Br
2 1 1
Cartesian
0.000 0.000 2.709
0.000 0.000 12.462
1.670 0.000 0.000
0.000 2.214 0.000
```

Calculated values
crystal system	orthorhombic

***

The structure with the greatest stability is model 2.

***

Model 1:
Tl2CrBr: optimized geometry, PBE.

The structure in POSCAR format:
```
Tl2CrBr
1.0
-2.265 2.265 5.550
2.265 -2.265 5.550
2.265 2.265 -5.550
Tl Cr Br
2 1 1
Cartesian
0.000 0.000 0.000
0.000 2.265 2.775
0.000 0.000 5.550
2.265 0.000 2.775
```

Calculated values
crystal system	tetragonal

***

Model 2:
Tl2CrBr: optimized geometry, PBE.

The structure in POSCAR format:
```
Tl2CrBr
1.0
1.932 -2.902 0.000
1.932 2.902 0.000
0.000 0.000 9.914
Tl Cr Br
2 1 1
Cartesian
0.000 0.000 0.000
1.932 0.000 2.760
1.932 0.000 7.698
0.000 0.000 6.024
```

Calculated values
crystal system	orthorhombic

***

The structure with the greatest stability is model 2.

***

Model 1:
Tl2CrBr: optimized geometry, PBE.

The structure in POSCAR format:
```
Tl2CrBr
1.0
3.446 0.000 0.000
0.000 3.446 0.000
0.000 0.000 9.034
Tl Cr Br
2 1 1
Cartesian
0.000 0.000 0.000
1.723 1.723 2.564
1.723 1.723 7.085
0.000 0.000 5.588
```

Calculated values
crystal system	tetragonal

***

Model 2:
Tl2CrBr: optimized geometry, PBE.

The structure in POSCAR format:
```
Tl2CrBr
1.0
-2.255 2.255 5.387
2.255 -2.255 5.387
2.255 2.255 -5.387
Tl Cr Br
2 1 1
Cartesian
2.255 0.000 2.693
0.000 2.255 2.693
0.000 0.000 0.000
0.000 0.000 5.387
```

Calculated values
crystal system	tetragonal

***

The structure with the greatest stability is model 1.

***

Model 1:
TlCrBr4: optimized geometry, PBE.

The structure in POSCAR format:
```
TlCrBr4
1.0
0.000 4.580 4.580
4.580 0.000 4.580
4.580 4.580 0.000
Tl Cr Br
1 1 4
Cartesian
0.000 0.000 0.000
2.290 2.290 2.290
5.724 3.436 3.436
3.436 5.724 3.436
3.436 3.436 5.724
5.724 5.724 5.724
```

Calculated values
crystal system	cubic

***

Model 2:
TlCrBr4: optimized geometry, PBE.

The structure in POSCAR format:
```
TlCrBr4
1.0
8.513 -3.744 0.000
8.513 3.744 0.000
-2.108 0.000 7.102
Tl Cr Br
2 2 8
Cartesian
3.339 0.000 1.878
11.580 0.000 5.224
5.513 0.000 5.459
9.405 0.000 1.643
5.365 1.750 3.765
8.513 1.690 0.000
3.228 0.000 6.173
9.554 1.750 3.337
5.365 -1.750 3.765
11.691 0.000 0.929
8.513 -1.690 0.000
9.554 -1.750 3.337
```

Calculated values
crystal system	monoclinic

***

Model 3:
TlCrBr4: optimized geometry, PBE.

The structure in POSCAR format:
```
TlCrBr4
1.0
5.048 -7.253 0.000
5.048 7.253 0.000
-1.898 0.000 6.315
Tl Cr Br
2 2 8
Cartesian
3.624 4.002 4.736
4.573 -4.002 1.579
4.573 0.934 1.579
3.624 -0.934 4.736
2.847 2.691 1.926
1.959 0.867 5.452
2.908 -0.867 2.295
6.299 2.691 1.231
1.898 -2.691 5.084
5.289 0.867 4.020
6.238 -0.867 0.862
5.350 -2.691 4.389
```

Calculated values
crystal system	monoclinic

***

The structure with the greatest stability is model 3.

***

Model 1:
Tl2CrBr6: optimized geometry, PBE.

The structure in POSCAR format:
```
Tl2CrBr6
1.0
0.000 5.179 5.179
5.179 0.000 5.179
5.179 5.179 0.000
Tl Cr Br
2 1 6
Cartesian
2.590 2.590 2.590
7.769 7.769 7.769
0.000 0.000 0.000
5.179 5.179 2.476
5.179 2.476 5.179
7.883 5.179 5.179
2.476 5.179 5.179
5.179 7.883 5.179
5.179 5.179 7.883
```

Calculated values
crystal system	cubic

***

Model 2:
Tl2CrBr6: optimized geometry, PBE.

The structure in POSCAR format:
```
Tl2CrBr6
1.0
6.326 -3.662 0.000
6.326 3.662 0.000
-0.140 0.000 6.350
Tl Cr Br
2 1 6
Cartesian
2.125 0.000 0.999
10.386 0.000 5.351
6.326 0.000 0.000
5.305 1.748 1.428
4.174 0.000 4.898
7.206 1.748 4.922
5.305 -1.748 1.428
8.337 0.000 1.452
7.206 -1.748 4.922
```

Calculated values
crystal system	monoclinic

***

The structure with the greatest stability is model 1.

***

Model 1:
V2CrBr: optimized geometry, PBE.

The structure in POSCAR format:
```
V2CrBr
1.0
0.000 3.078 3.078
3.078 0.000 3.078
3.078 3.078 0.000
V Cr Br
2 1 1
Cartesian
1.539 1.539 1.539
4.616 4.616 4.616
0.000 0.000 0.000
3.078 3.078 3.078
```

Calculated values
crystal system	cubic

***

Model 2:
V2CrBr: optimized geometry, PBE.

The structure in POSCAR format:
```
V2CrBr
1.0
-2.589 2.589 6.222
2.589 -2.589 6.222
2.589 2.589 -6.222
V Cr Br
4 2 2
Cartesian
3.883 0.995 -1.556
0.995 1.294 1.556
-1.294 1.594 4.667
1.594 1.294 7.778
0.000 0.000 0.000
0.000 2.589 3.111
2.589 0.000 3.111
0.000 0.000 6.222
```

Calculated values
crystal system	tetragonal

***

The structure with the greatest stability is model 1.